1.
VASP calculation (GGA-PBE) on a relaxed structure of BeFeTe2.

Values from the calculation:
Uncorrected energy   -4.459 eV per atom
Size of the total moment   0.00 μB per cell

Lattice parameters (Å, degrees): 6.8571 6.8571 6.8571 130.34 130.34 72.86
With the nearest neighbours (Å) after each atom.
Atoms (fractional coordinates):
Be  0.0000  0.0000  0.0000  4 Te 2.44
Be  0.7500  0.2500  0.5000  4 Te 2.44
Fe  0.2500  0.7500  0.5000  4 Te 2.48
Fe  0.5000  0.5000  0.0000  4 Te 2.48
Te  0.1188  0.6250  0.9938  2 Be 2.44, 2 Fe 2.48
Te  0.3750  0.3688  0.4938  2 Be 2.44, 2 Fe 2.48
Te  0.6312  0.1250  0.0062  2 Be 2.44, 2 Fe 2.48
Te  0.8750  0.8812  0.5062  2 Be 2.44, 2 Fe 2.48

---

2.
VASP calculation (GGA-PBE) on a relaxed structure of BeFeTe.

Values from the calculation:
Size of the total moment   1.66 μB per cell
Offset from the most stable computed form   0.330 eV/atom

Lattice parameters (Å, degrees): 3.1423 3.1423 5.6140 90.00 90.00 120.00
With the nearest neighbours (Å) after each atom.
Atoms (fractional coordinates):
Be  0.0000  0.0000  0.0000  3 Fe 2.36
Fe  0.6667  0.3333  0.2690  3 Be 2.36, 3 Te 2.60
Te  0.3333  0.6667  0.6016  3 Fe 2.60, 3 Be 2.88

---

The records above give, respectively, DOS(E_F) values of 9.10 2.42 states/eV per cell.